This record from Alexandria via LeMat-Bulk describes an optimized crystal structure of SmThOs. The functional is GGA-PBE.

Values from the calculation:
E_form = -0.13 eV per atom
size of the total moment = 0.00 μB/f.u.

abc: 7.034 7.035 6.808
angles: 90.00 90.14 90.00
Space group C2 (No. 5)
Inequivalent atoms, fractional coordinates:
Sm (0.250, 0.000, 0.116) [4 per cell]
Th (0.000, 0.249, 0.500) [2 per cell]
Th (0.000, 0.750, 0.500) [2 per cell]
Os (0.249, 0.499, 0.291) [4 per cell]

---

This record from Alexandria via LeMat-Bulk describes an optimized crystal structure of Pm3P4Pd4. The functional is GGA-PBE.

Values from the calculation:
E_form = -1.08 eV per atom
size of the total moment = 0.00 μB/f.u.

abc: 4.172 6.976 13.796
angles: 90.00 90.00 90.00
Space group Immm (No. 71)
Inequivalent atoms, fractional coordinates:
Pm (0.000, 0.000, 0.000) [2 per cell]
Pm (0.000, 0.500, 0.128) [4 per cell]
P (0.000, 0.000, 0.216) [4 per cell]
P (0.000, 0.185, 0.500) [4 per cell]
Pd (0.000, 0.302, 0.331) [8 per cell]

---

This record from Alexandria via LeMat-Bulk describes an optimized crystal structure of MnGaBr3. The functional is GGA-PBE.

Values from the calculation:
energy relative to the elements, uncorrected = 3.7 kJ per mole of atoms
size of the total moment = 5.60 μB/f.u.

abc: 5.078 5.078 5.078
angles: 90.00 90.00 90.00
Space group Pm-3m (No. 221)
Inequivalent atoms, fractional coordinates:
Mn (0.000, 0.000, 0.000) [1 per cell]
Ga (0.500, 0.500, 0.500) [1 per cell]
Br (0.000, 0.500, 0.500) [3 per cell]

---

This record from Alexandria via LeMat-Bulk describes an optimized crystal structure of Li2AcAu3. The functional is GGA-PBE.

Values from the calculation:
E_form = -0.65 eV per atom
size of the total moment = 0.00 μB/f.u.

abc: 4.5700 4.5700 14.0697
angles: 90.00 90.00 120.00
Space group P6_3/mmc (No. 194)
Inequivalent atoms, fractional coordinates:
Li (0.3333, 0.6667, 0.0666) [4 per cell]
Ac (0.0000, 0.0000, 0.2500) [2 per cell]
Au (0.0000, 0.0000, 0.0000) [2 per cell]
Au (0.3333, 0.6667, 0.6178) [4 per cell]

---

This record from Alexandria via LeMat-Bulk describes an optimized crystal structure of BeGa2CoW. The functional is GGA-PBE.

Values from the calculation:
E_form = 0.81 eV per atom
size of the total moment = 1.42 μB/f.u.

abc: 4.096 4.096 4.297
angles: 90.00 90.00 90.00
Space group P4/mmm (No. 123)
Inequivalent atoms, fractional coordinates:
Be (0.000, 0.000, 0.000) [1 per cell]
Ga (0.000, 0.500, 0.000) [2 per cell]
Co (0.500, 0.500, 0.500) [1 per cell]
W (0.000, 0.000, 0.500) [1 per cell]

---

This record from Alexandria via LeMat-Bulk describes an optimized crystal structure of CaMgSi2. The functional is GGA-PBE.

Values from the calculation:
energy relative to the elements, uncorrected = -21.9 kJ per mole of atoms
size of the total moment = 0.00 μB/f.u.

abc: 8.739 3.819 5.620
angles: 90.00 110.63 90.00
Space group C2/m (No. 12)
Inequivalent atoms, fractional coordinates:
Ca (0.000, 0.000, 0.000) [2 per cell]
Mg (0.000, 0.500, 0.500) [2 per cell]
Si (0.244, 0.000, 0.645) [4 per cell]

---

Number 1: mass density 11.29 g/cm3. Number 2: mass density 8.14 g/cm3. Number 3: mass density 4.62 g/cm3. Number 4: mass density 10.86 g/cm3. Number 5: mass density 9.01 g/cm3. Number 6: mass density 2.28 g/cm3.